[1]
Computed, not measured: a geometry-optimized HfCuSiTc structure at the PBE level of DFT.

a b c (Å): 4.3791 4.3791 4.3791
angles (deg): 60.00 60.00 60.00
Fractional coordinates of all 4 atoms:
Hf1 0.0000 0.0000 0.0000
Cu1 0.7500 0.7500 0.7500
Si1 0.5000 0.5000 0.5000
Tc1 0.2500 0.2500 0.2500

symmetry	F-43m (216)
electronic total energy	-30.284	eV per cell
distance to the lowest polymorph of the same formula	0.000	eV/atom

[2]
Computed, not measured: a geometry-optimized HfCuSiTc structure at the PBE level of DFT.

a b c (Å): 4.4281 4.4281 4.4281
angles (deg): 60.00 60.00 60.00
Fractional coordinates of all 4 atoms:
Hf1 0.0000 0.0000 0.0000
Cu1 0.5000 0.5000 0.5000
Si1 0.2500 0.2500 0.2500
Tc1 0.7500 0.7500 0.7500

symmetry	F-43m (216)
electronic total energy	-29.081	eV per cell
distance to the lowest polymorph of the same formula	0.301	eV/atom

[3]
Computed, not measured: a geometry-optimized HfCuSiW structure at the PBE level of DFT.

a b c (Å): 4.4448 4.4448 4.4448
angles (deg): 60.00 60.00 60.00
Fractional coordinates of all 4 atoms:
Hf1 0.0000 0.0000 0.0000
Cu1 0.7500 0.7500 0.7500
Si1 0.5000 0.5000 0.5000
W1 0.2500 0.2500 0.2500

symmetry	F-43m (216)
electronic total energy	-31.244	eV per cell
distance to the lowest polymorph of the same formula	0.000	eV/atom

[4]
Computed, not measured: a geometry-optimized YHfCuSi structure at the PBE level of DFT.

a b c (Å): 4.7385 4.7385 4.7385
angles (deg): 60.00 60.00 60.00
Fractional coordinates of all 4 atoms:
Y1 0.0000 0.0000 0.0000
Hf1 0.2500 0.2500 0.2500
Cu1 0.7500 0.7500 0.7500
Si1 0.5000 0.5000 0.5000

symmetry	F-43m (216)
electronic total energy	-24.312	eV per cell
distance to the lowest polymorph of the same formula	0.000	eV/atom

[5]
Computed, not measured: a geometry-optimized HfZnCuSi structure at the PBE level of DFT.

a b c (Å): 4.4373 4.4373 4.4373
angles (deg): 60.00 60.00 60.00
Fractional coordinates of all 4 atoms:
Hf1 0.0000 0.0000 0.0000
Zn1 0.2500 0.2500 0.2500
Cu1 0.7500 0.7500 0.7500
Si1 0.5000 0.5000 0.5000

symmetry	F-43m (216)
electronic total energy	-19.945	eV per cell
distance to the lowest polymorph of the same formula	0.123	eV/atom

[6]
Computed, not measured: a geometry-optimized HfZnCuSi structure at the PBE level of DFT.

a b c (Å): 4.4369 4.4369 4.4369
angles (deg): 60.00 60.00 60.00
Fractional coordinates of all 4 atoms:
Hf1 0.0000 0.0000 0.0000
Zn1 0.7500 0.7500 0.7500
Cu1 0.5000 0.5000 0.5000
Si1 0.2500 0.2500 0.2500

symmetry	F-43m (216)
electronic total energy	-20.436	eV per cell
distance to the lowest polymorph of the same formula	0.000	eV/atom

Q: What is the distance to the lowest polymorph of the same formula in the sixth record?
A: 0.000 eV/atom

Q: Which formula does entry 2 have?
A: HfCuSiTc

Q: Look up the distance to the lowest polymorph of the same formula of the third one.
A: 0.000 eV/atom

Q: Among the records above, which one has the highest electronic total energy?
A: number 5